Compound: LuNpSnHg
Source: Alexandria
Functional: PBE-GGA
Structure: relaxed

## Properties
- DOS at the Fermi energy: 6.56 states/eV/cell
- Calculated total energy: -22.29 eV for the cell shown
- ΔH_f (0 K): -0.13 eV per atom

```
LuNpSnHg
1.0
5.2571 0.0000 0.0000
2.6285 4.5528 0.0000
2.6285 1.5176 4.2924
Np Lu Hg Sn
1 1 1 1
direct
0.5000 0.5000 0.5000
0.0000 0.0000 0.0000
0.7500 0.7500 0.7500
0.2500 0.2500 0.2500
```

=====

Compound: Lu3HgO
Source: Alexandria
Functional: PBE-GGA
Structure: relaxed

## Properties
- DOS at the Fermi energy: 1.80 states/eV/cell
- Calculated total energy: -25.69 eV for the cell shown
- Formation energy (no corrections): -6.87 eV/f.u.

```
Lu3HgO
1.0
-0.5230 4.5141 0.9072
-4.4567 -0.2669 -1.2409
-1.1566 -1.0125 4.3716
Lu Hg O
3 1 1
direct
0.0000 0.5000 0.0000
0.0000 0.0000 0.5000
0.5000 0.0000 0.0000
0.5000 0.5000 0.5000
0.0000 0.0000 0.0000
```

=====

Compound: Lu2HgO
Source: Alexandria
Functional: PBE-GGA
Structure: relaxed

## Properties
- DOS at the Fermi energy: 1.46 states/eV/cell
- Calculated total energy: -19.54 eV for the cell shown
- Formation energy (no corrections): -5.24 eV/f.u.

```
Lu2HgO
1.0
-2.6373 -2.8119 -0.1576
0.8836 -3.5454 1.2395
-3.1678 -0.1200 7.9202
Lu Hg O
2 1 1
direct
0.0795 0.0795 0.7614
0.9205 0.9205 0.2386
0.5000 0.5000 0.5000
0.0000 0.0000 0.0000
```